Computed, not measured: a relaxed HoSbPb2O6 crystal at the GGA-PBE level of DFT.

The structure belongs to space group P-1 (No. 2); the cell edges are 5.171, 5.242 and 5.704 Å and the angles 93.59°, 90.11° and 103.75°. The asymmetric unit holds Ho at (0.000, 0.000, 0.000), Sb at (0.500, 0.500, 0.000), Pb at (0.294, 0.706, 0.463), O at (0.256, 0.735, 0.037), O at (0.277, 0.265, 0.743) and O at (0.294, 0.294, 0.258).

The energy relative to the lowest polymorph listed for this composition is 172 meV per atom.


Computed, not measured: a relaxed Zn2Co9 crystal at the GGA-PBE level of DFT.

The structure belongs to space group P-3m1 (No. 164); the cell edges are 2.4866, 2.4866 and 35.0443 Å and the angles 90.00°, 90.00° and 120.00°. The asymmetric unit holds Zn at (0.3333, 0.6667, 0.2918), Co at (0.0000, 0.0000, 0.0000), Co at (0.0000, 0.0000, 0.1712), Co at (0.3333, 0.6667, 0.1141), Co at (0.3333, 0.6667, 0.7725) and Co at (0.3333, 0.6667, 0.9430).

Its calculated formation energy is 0.06 eV per atom.


Computed, not measured: a relaxed Hf5Ta crystal at the GGA-PBE level of DFT.

The structure belongs to space group P-62m (No. 189); the cell edges are 5.4638, 5.4638 and 5.0225 Å and the angles 90.00°, 90.00° and 120.00°. The asymmetric unit holds Hf at (0.0000, 0.6780, 0.0000), Hf at (0.3333, 0.6667, 0.5000) and Ta at (0.0000, 0.0000, 0.5000).

Its calculated formation energy is 0.08 eV per atom.


Computed, not measured: a relaxed Li3AuO4 crystal at the GGA-PBE level of DFT.

The structure belongs to space group P2/c (No. 13); the cell edges are 5.096, 5.983 and 5.208 Å and the angles 90.00°, 109.77° and 90.00°. The asymmetric unit holds Li at (0.000, 0.097, 0.250), Li at (0.000, 0.354, 0.750), Li at (0.500, 0.109, 0.750), Au at (0.500, 0.369, 0.250), O at (0.252, 0.136, 0.013) and O at (0.263, 0.383, 0.496).

The energy relative to the lowest polymorph listed for this composition is 0 meV per atom.


Computed, not measured: a relaxed HoCd7 crystal at the GGA-PBE level of DFT.

The structure belongs to space group Cmcm (No. 63); the cell edges are 7.378, 10.174 and 9.448 Å and the angles 90.00°, 90.00° and 90.00°. The asymmetric unit holds Ho at (0.000, 0.023, 0.250), Cd at (0.000, 0.214, 0.519), Cd at (0.000, 0.415, 0.750), Cd at (0.201, 0.301, 0.250) and Cd at (0.207, 0.500, 0.000).

Its calculated formation energy is -0.16 eV per atom.


Computed, not measured: a relaxed ErNpU crystal at the GGA-PBE level of DFT.

The structure belongs to space group F-43m (No. 216); the cell edges are 6.889, 6.889 and 6.889 Å and the angles 90.00°, 90.00° and 90.00°. The asymmetric unit holds Er at (0.000, 0.000, 0.000), Np at (0.250, 0.250, 0.250) and U at (0.000, 0.000, 0.500).

The energy relative to the lowest polymorph listed for this composition is 0 meV per atom. Its calculated formation energy is 1.06 eV per atom.


Computed, not measured: a relaxed BeNb2P crystal at the GGA-PBE level of DFT.

The structure belongs to space group P2_1/m (No. 11); the cell edges are 4.908, 3.467 and 6.886 Å and the angles 90.00°, 110.31° and 90.00°. The asymmetric unit holds Be at (0.146, 0.250, 0.286), Nb at (0.292, 0.750, 0.074), Nb at (0.295, 0.750, 0.571) and P at (0.135, 0.250, 0.783).

Its uncorrected energy is -8.073 eV/atom.


Computed, not measured: a relaxed Tb2CoNiI2 crystal at the GGA-PBE level of DFT.

The structure belongs to space group P3m1 (No. 156); the cell edges are 4.0066, 4.0066 and 12.3247 Å and the angles 90.00°, 90.00° and 120.00°. The asymmetric unit holds Tb at (0.0000, 0.0000, 0.0000), Tb at (0.0000, 0.0000, 0.2970), Co at (0.3333, 0.6667, 0.1457), Ni at (0.6667, 0.3333, 0.1523), I at (0.3333, 0.6667, 0.4729) and I at (0.6667, 0.3333, 0.8246).

Its uncorrected energy is -5.001 eV/atom.